Entry from Alexandria: a relaxed Co2Os crystal (PBE-GGA).

Unit cell a=2.612 b=2.612 c=10.504 alpha=90.00 beta=90.00 gamma=90.00
Atoms (fractional coordinates):
Co (0.000, 0.000, 0.170)
Co (0.000, 0.000, 0.830)
Co (0.500, 0.500, 0.330)
Co (0.500, 0.500, 0.670)
Os (0.000, 0.000, 0.500)
Os (0.500, 0.500, 0.000)

Output
Polymorph energy (0 for the lowest one) = 81 meV/atom
Symmetry = I4/mmm

***

Entry from Alexandria: a relaxed Co2Os crystal (PBE-GGA).

Unit cell a=2.589 b=3.589 c=7.568 alpha=90.00 beta=90.00 gamma=90.00
Atoms (fractional coordinates):
Co (0.000, 0.000, 0.166)
Co (0.000, 0.000, 0.834)
Co (0.500, 0.500, 0.334)
Co (0.500, 0.500, 0.666)
Os (0.000, 0.000, 0.500)
Os (0.500, 0.500, 0.000)

Output
Polymorph energy (0 for the lowest one) = 4 meV/atom
Symmetry = Immm

***

Entry from Alexandria: a relaxed Co5Os crystal (PBE-GGA).

Unit cell a=4.069 b=2.562 c=13.172 alpha=90.00 beta=90.00 gamma=90.00
Atoms (fractional coordinates):
Co (0.000, 0.000, 0.000)
Co (0.000, 0.000, 0.327)
Co (0.000, 0.000, 0.664)
Co (0.000, 0.500, 0.164)
Co (0.000, 0.500, 0.500)
Co (0.000, 0.500, 0.827)
Co (0.500, 0.000, 0.113)
Co (0.500, 0.000, 0.773)
Co (0.500, 0.500, 0.273)
Co (0.500, 0.500, 0.613)
Os (0.500, 0.000, 0.442)
Os (0.500, 0.500, 0.942)

Output
Polymorph energy (0 for the lowest one) = 0 meV/atom
Symmetry = Amm2

***

Entry from Alexandria: a relaxed Co2Os crystal (PBE-GGA).

Unit cell a=4.605 b=4.605 c=4.605 alpha=60.00 beta=60.00 gamma=60.00
Atoms (fractional coordinates):
Co (0.000, 0.000, 0.000)
Co (0.000, 0.000, 0.500)
Co (0.000, 0.500, 0.000)
Co (0.500, 0.000, 0.000)
Os (0.375, 0.375, 0.375)
Os (0.625, 0.625, 0.625)

Output
Polymorph energy (0 for the lowest one) = 125 meV/atom
Symmetry = Fd-3m

***

Entry from Alexandria: a relaxed CoOs4 crystal (PBE-GGA).

Unit cell a=3.745 b=3.745 c=11.655 alpha=90.00 beta=90.00 gamma=90.00
Atoms (fractional coordinates):
Co (0.000, 0.000, 0.000)
Co (0.500, 0.500, 0.500)
Os (0.000, 0.000, 0.398)
Os (0.000, 0.000, 0.602)
Os (0.000, 0.500, 0.250)
Os (0.000, 0.500, 0.750)
Os (0.500, 0.000, 0.250)
Os (0.500, 0.000, 0.750)
Os (0.500, 0.500, 0.102)
Os (0.500, 0.500, 0.898)

Output
Polymorph energy (0 for the lowest one) = 757 meV/atom
Symmetry = I4/mmm

***

Entry from Alexandria: a relaxed Co2Os crystal (PBE-GGA).

Unit cell a=5.106 b=3.622 c=7.661 alpha=90.00 beta=90.00 gamma=90.00
Atoms (fractional coordinates):
Co (0.123, 0.250, 0.084)
Co (0.125, 0.250, 0.747)
Co (0.375, 0.750, 0.247)
Co (0.377, 0.750, 0.584)
Co (0.623, 0.250, 0.416)
Co (0.625, 0.250, 0.753)
Co (0.875, 0.750, 0.253)
Co (0.877, 0.750, 0.916)
Os (0.130, 0.250, 0.417)
Os (0.370, 0.750, 0.917)
Os (0.630, 0.250, 0.083)
Os (0.870, 0.750, 0.583)

Output
Polymorph energy (0 for the lowest one) = 40 meV/atom
Symmetry = Pnma

***

Number 1: energy relative to the elements 176 meV/atom. Number 2: energy relative to the elements 99 meV/atom. Number 3: energy relative to the elements 79 meV/atom. Number 4: energy relative to the elements 220 meV/atom. Number 5: energy relative to the elements 899 meV/atom. Number 6: energy relative to the elements 135 meV/atom.